[1]
# Hg2RuO, relaxed, DFT PBE
# Formation energy (no corrections) in eV/atom: 0.5879
data_Hg2RuO
_chemical_formula_sum 'Hg8 Ru4 O4'
_space_group_name_H-M_alt 'I -4 2 d'
_space_group_IT_number 122
_space_group_name_Hall 'I -4 2bw'
_cell_length_a 7.214
_cell_length_b 7.214
_cell_length_c 5.275
_cell_angle_alpha 90.00
_cell_angle_beta 90.00
_cell_angle_gamma 90.00
loop_
_atom_site_label
_atom_site_type_symbol
_atom_site_fract_x
_atom_site_fract_y
_atom_site_fract_z
Hg1 Hg 0.199 0.250 0.125
Ru1 Ru 0.000 0.000 0.500
O1 O 0.000 0.000 0.000

[2]
# MoS2, relaxed, DFT PBE
# Formation energy (no corrections) in eV/atom: -0.5953
data_MoS2
_chemical_formula_sum 'Mo3 S6'
_space_group_name_H-M_alt 'R -3 m'
_space_group_IT_number 166
_space_group_name_Hall '-R 3 2"'
_cell_length_a 3.2052
_cell_length_b 3.2052
_cell_length_c 19.4545
_cell_angle_alpha 90.00
_cell_angle_beta 90.00
_cell_angle_gamma 120.00
loop_
_atom_site_label
_atom_site_type_symbol
_atom_site_fract_x
_atom_site_fract_y
_atom_site_fract_z
Mo1 Mo 0.0000 0.0000 0.0000
S1 S 0.0000 0.0000 0.2520

[3]
# TaTl2N, relaxed, DFT PBE
# Formation energy (no corrections) in eV/atom: 1.7607
data_TaTl2N
_chemical_formula_sum 'Ta4 Tl8 N4'
_space_group_name_H-M_alt 'F m -3 m'
_space_group_IT_number 225
_space_group_name_Hall '-F 4 2 3'
_cell_length_a 6.843
_cell_length_b 6.843
_cell_length_c 6.843
_cell_angle_alpha 90.00
_cell_angle_beta 90.00
_cell_angle_gamma 90.00
loop_
_atom_site_label
_atom_site_type_symbol
_atom_site_fract_x
_atom_site_fract_y
_atom_site_fract_z
Ta1 Ta 0.000 0.000 0.000
Tl1 Tl 0.250 0.250 0.250
N1 N 0.000 0.000 0.500

[4]
# InTc2W, relaxed, DFT PBE
# Energy of formation from the pure elements in eV per atom: 0.3388
data_InTc2W
_chemical_formula_sum 'In2 Tc4 W2'
_space_group_name_H-M_alt 'I m m m'
_space_group_IT_number 71
_space_group_name_Hall '-I 2 2'
_cell_length_a 3.165
_cell_length_b 4.714
_cell_length_c 8.842
_cell_angle_alpha 90.00
_cell_angle_beta 90.00
_cell_angle_gamma 90.00
loop_
_atom_site_label
_atom_site_type_symbol
_atom_site_fract_x
_atom_site_fract_y
_atom_site_fract_z
In1 In 0.000 0.000 0.000
Tc1 Tc 0.000 0.500 0.233
W1 W 0.000 0.000 0.500

[5]
# GaRh3S, relaxed, DFT PBE
# Formation energy (no corrections) in eV/atom: 0.1086
data_GaRh3S
_chemical_formula_sum 'Ga1 Rh3 S1'
_space_group_name_H-M_alt 'P m -3 m'
_space_group_IT_number 221
_space_group_name_Hall '-P 4 2 3'
_cell_length_a 4.375
_cell_length_b 4.375
_cell_length_c 4.375
_cell_angle_alpha 90.00
_cell_angle_beta 90.00
_cell_angle_gamma 90.00
loop_
_atom_site_label
_atom_site_type_symbol
_atom_site_fract_x
_atom_site_fract_y
_atom_site_fract_z
Ga1 Ga 0.000 0.000 0.000
Rh1 Rh 0.000 0.500 0.500
S1 S 0.500 0.500 0.500

[6]
# CdHgMo2, relaxed, DFT PBE
# Energy of formation from the pure elements in eV per atom: 1.1362
data_CdHgMo2
_chemical_formula_sum 'Cd4 Hg4 Mo8'
_space_group_name_H-M_alt 'I -4 2 d'
_space_group_IT_number 122
_space_group_name_Hall 'I -4 2bw'
_cell_length_a 7.613
_cell_length_b 7.613
_cell_length_c 5.446
_cell_angle_alpha 90.00
_cell_angle_beta 90.00
_cell_angle_gamma 90.00
loop_
_atom_site_label
_atom_site_type_symbol
_atom_site_fract_x
_atom_site_fract_y
_atom_site_fract_z
Cd1 Cd 0.000 0.000 0.000
Hg1 Hg 0.000 0.000 0.500
Mo1 Mo 0.247 0.250 0.625

[7]
# La3Tb2Ho2, relaxed, DFT PBE
# Energy of formation from the pure elements in eV per atom: 0.1120
data_La3Tb2Ho2
_chemical_formula_sum 'La6 Tb4 Ho4'
_space_group_name_H-M_alt 'C 1 2/m 1'
_space_group_IT_number 12
_space_group_name_Hall '-C 2y'
_cell_length_a 17.777
_cell_length_b 3.528
_cell_length_c 8.638
_cell_angle_alpha 90.00
_cell_angle_beta 118.55
_cell_angle_gamma 90.00
loop_
_atom_site_label
_atom_site_type_symbol
_atom_site_fract_x
_atom_site_fract_y
_atom_site_fract_z
La1 La 0.000 0.000 0.000
La2 La 0.214 0.000 0.296
Tb1 Tb 0.064 0.500 0.411
Ho1 Ho 0.142 0.000 0.822

[8]
# TbLuCoRh, relaxed, DFT PBE
# Energy of formation from the pure elements in eV per atom: -0.5357
data_TbLuCoRh
_chemical_formula_sum 'Tb4 Lu4 Co4 Rh4'
_space_group_name_H-M_alt 'F -4 3 m'
_space_group_IT_number 216
_space_group_name_Hall 'F -4 2 3'
_cell_length_a 6.715
_cell_length_b 6.715
_cell_length_c 6.715
_cell_angle_alpha 90.00
_cell_angle_beta 90.00
_cell_angle_gamma 90.00
loop_
_atom_site_label
_atom_site_type_symbol
_atom_site_fract_x
_atom_site_fract_y
_atom_site_fract_z
Tb1 Tb 0.000 0.000 0.000
Lu1 Lu 0.000 0.000 0.500
Co1 Co 0.250 0.250 0.250
Rh1 Rh 0.250 0.250 0.750

[9]
# HfAsPd, relaxed, DFT PBE
# Energy of formation from the pure elements in eV per atom: -0.6976
data_HfAsPd
_chemical_formula_sum 'Hf4 As4 Pd4'
_space_group_name_H-M_alt 'I m m 2'
_space_group_IT_number 44
_space_group_name_Hall 'I 2 -2'
_cell_length_a 3.602
_cell_length_b 3.732
_cell_length_c 16.432
_cell_angle_alpha 90.00
_cell_angle_beta 90.00
_cell_angle_gamma 90.00
loop_
_atom_site_label
_atom_site_type_symbol
_atom_site_fract_x
_atom_site_fract_y
_atom_site_fract_z
Hf1 Hf 0.000 0.000 0.000
Hf2 Hf 0.000 0.500 0.193
As1 As 0.000 0.000 0.567
As2 As 0.000 0.500 0.741
Pd1 Pd 0.000 0.000 0.411
Pd2 Pd 0.000 0.000 0.840

[10]
# Rb2TcTeF6, relaxed, DFT PBE
# Formation energy (no corrections) in eV/atom: -2.0022
data_Rb2TcTeF6
_chemical_formula_sum 'Rb4 Tc2 Te2 F12'
_space_group_name_H-M_alt 'I 4/m m m'
_space_group_IT_number 139
_space_group_name_Hall '-I 4 2'
_cell_length_a 7.454
_cell_length_b 7.454
_cell_length_c 8.488
_cell_angle_alpha 90.00
_cell_angle_beta 90.00
_cell_angle_gamma 90.00
loop_
_atom_site_label
_atom_site_type_symbol
_atom_site_fract_x
_atom_site_fract_y
_atom_site_fract_z
Rb1 Rb 0.000 0.500 0.250
Tc1 Tc 0.000 0.000 0.000
Te1 Te 0.000 0.000 0.500
F1 F 0.000 0.000 0.235
F2 F 0.186 0.186 0.000

[11]
# Dy6RuAu2, relaxed, DFT PBE
# Energy of formation from the pure elements in eV per atom: -0.4769
data_Dy6RuAu2
_chemical_formula_sum 'Dy12 Ru2 Au4'
_space_group_name_H-M_alt 'P 1 21/c 1'
_space_group_IT_number 14
_space_group_name_Hall '-P 2ybc'
_cell_length_a 6.611
_cell_length_b 7.494
_cell_length_c 11.680
_cell_angle_alpha 90.00
_cell_angle_beta 121.60
_cell_angle_gamma 90.00
loop_
_atom_site_label
_atom_site_type_symbol
_atom_site_fract_x
_atom_site_fract_y
_atom_site_fract_z
Dy1 Dy 0.113 0.026 0.249
Dy2 Dy 0.221 0.678 0.066
Dy3 Dy 0.379 0.180 0.056
Ru1 Ru 0.500 0.000 0.500
Au1 Au 0.311 0.114 0.756

[12]
# Nd4SmMg, relaxed, DFT PBE
# Energy of formation from the pure elements in eV per atom: -0.0242
data_Nd4SmMg
_chemical_formula_sum 'Nd4 Sm1 Mg1'
_space_group_name_H-M_alt 'P 4/m m m'
_space_group_IT_number 123
_space_group_name_Hall '-P 4 2'
_cell_length_a 3.691
_cell_length_b 3.691
_cell_length_c 14.604
_cell_angle_alpha 90.00
_cell_angle_beta 90.00
_cell_angle_gamma 90.00
loop_
_atom_site_label
_atom_site_type_symbol
_atom_site_fract_x
_atom_site_fract_y
_atom_site_fract_z
Nd1 Nd 0.000 0.000 0.149
Nd2 Nd 0.500 0.500 0.324
Sm1 Sm 0.000 0.000 0.500
Mg1 Mg 0.500 0.500 0.000

- Which formula does entry 12 have?
  Nd4SmMg